A relaxed LuTlNiPt crystal, computed with GGA-PBE.

Cell: 4.698 4.698 4.698 Å, 60.00 60.00 60.00°
Fractional coordinates of all 4 atoms:
1 Lu 0.000 0.000 0.000
2 Tl 0.500 0.500 0.500
3 Ni 0.750 0.750 0.750
4 Pt 0.250 0.250 0.250

Properties
Electronic total energy ... -5.1143 eV/atom
Distance to the lowest polymorph of the same formula ... 0.000 eV per atom
Size of the total moment ... 0.00 μB per formula unit


A relaxed DyErAg2Se4 crystal, computed with GGA-PBE.

Cell: 6.744 6.744 4.299 Å, 90.00 90.00 90.06°
Fractional coordinates of all 8 atoms:
1 Dy 0.000 0.000 0.000
2 Er 0.500 0.500 0.592
3 Ag 0.000 0.500 0.796
4 Ag 0.500 0.000 0.796
5 Se 0.203 0.203 0.512
6 Se 0.300 0.700 0.080
7 Se 0.700 0.300 0.080
8 Se 0.797 0.797 0.512

Properties
Electronic total energy ... -4.8160 eV/atom
Size of the total moment ... 0.00 μB per formula unit


A relaxed ScZnCuB crystal, computed with GGA-PBE.

Cell: 4.185 4.185 4.185 Å, 60.00 60.00 60.00°
Fractional coordinates of all 4 atoms:
1 Sc 0.000 0.000 0.000
2 Zn 0.750 0.750 0.750
3 Cu 0.250 0.250 0.250
4 B 0.500 0.500 0.500

Properties
Electronic total energy ... -4.2090 eV/atom
Distance to the lowest polymorph of the same formula ... 0.221 eV per atom
Size of the total moment ... 0.00 μB per formula unit


Repeat the first record exactly.
A relaxed LuTlNiPt crystal, computed with GGA-PBE.

Cell: 4.698 4.698 4.698 Å, 60.00 60.00 60.00°
Fractional coordinates of all 4 atoms:
1 Lu 0.000 0.000 0.000
2 Tl 0.500 0.500 0.500
3 Ni 0.750 0.750 0.750
4 Pt 0.250 0.250 0.250

Properties
Electronic total energy ... -5.1143 eV/atom
Distance to the lowest polymorph of the same formula ... 0.000 eV per atom
Size of the total moment ... 0.00 μB per formula unit


Repeat the second record exactly.
A relaxed DyErAg2Se4 crystal, computed with GGA-PBE.

Cell: 6.744 6.744 4.299 Å, 90.00 90.00 90.06°
Fractional coordinates of all 8 atoms:
1 Dy 0.000 0.000 0.000
2 Er 0.500 0.500 0.592
3 Ag 0.000 0.500 0.796
4 Ag 0.500 0.000 0.796
5 Se 0.203 0.203 0.512
6 Se 0.300 0.700 0.080
7 Se 0.700 0.300 0.080
8 Se 0.797 0.797 0.512

Properties
Electronic total energy ... -4.8160 eV/atom
Size of the total moment ... 0.00 μB per formula unit


size of the total moment of number 2 (DyErAg2Se4)?
0.00 μB per formula unit